[1]
Entry from OQMD: NdZn after structural relaxation (PBE).

a b c (Å): 4.871 9.768 6.320
angles (deg): 90.00 90.00 90.00
Fractional positions:
Nd: 0.000 0.031 0.000
Nd: 0.000 0.349 0.667
Nd: 0.000 0.651 0.167
Nd: 0.000 0.969 0.500
Nd: 0.500 0.218 0.273
Nd: 0.500 0.782 0.773
Zn: 0.000 0.354 0.144
Zn: 0.000 0.646 0.644
Zn: 0.500 0.135 0.746
Zn: 0.500 0.471 0.954
Zn: 0.500 0.529 0.454
Zn: 0.500 0.865 0.246

Magnetization = 0.07 Bohr magnetons per cell
Formation energy from the elements = -0.1926 eV/atom
Energy = -3.206 eV per atom

[2]
Entry from OQMD: Ho after structural relaxation (PBE).

a b c (Å): 6.749 6.388 3.370
angles (deg): 81.15 69.28 29.56
Fractional positions:
Ho: 0.138 0.138 0.862
Ho: 0.862 0.862 0.138

Magnetization = 0.01 Bohr magnetons per cell
Formation energy from the elements = 0.1993 eV/atom
Energy = -4.378 eV per atom

Question: What is the energy in the first record?
Answer: -3.206 eV per atom